1.
A plane-wave DFT calculation with PBE was carried out for a geometry-optimized Ta2InRu structure.

The space group is I-4m2 (No. 119) and the conventional cell measures 3.984, 3.984 and 8.900 Å, with angles of 90.00, 90.00 and 90.00 degrees. The asymmetric unit holds Ta at (0.000, 0.000, 0.000), Ta at (0.000, 0.500, 0.250), In at (0.000, 0.500, 0.750) and Ru at (0.000, 0.000, 0.500).

2.
A plane-wave DFT calculation with PBE was carried out for a geometry-optimized TaIn2Ru structure.

As for the energy above the most stable polymorph in this dataset: 1.443 eV per formula unit.

The space group is Pmmm (No. 47) and the conventional cell measures 3.147, 4.779 and 4.977 Å, with angles of 90.00, 90.00 and 90.00 degrees. The asymmetric unit holds Ta at (0.000, 0.000, 0.000), In at (0.000, 0.500, 0.500), In at (0.500, 0.500, 0.000) and Ru at (0.500, 0.000, 0.500).

3.
A plane-wave DFT calculation with PBE was carried out for a geometry-optimized Ta2InRu structure.

The space group is P4/mmm (No. 123) and the conventional cell measures 2.970, 2.970 and 8.143 Å, with angles of 90.00, 90.00 and 90.00 degrees. The asymmetric unit holds Ta at (0.000, 0.000, 0.215), In at (0.500, 0.500, 0.500) and Ru at (0.500, 0.500, 0.000).

4.
A plane-wave DFT calculation with PBE was carried out for a geometry-optimized Ta2InRu structure.

The space group is F-43m (No. 216) and the conventional cell measures 6.566, 6.566 and 6.566 Å, with angles of 90.00, 90.00 and 90.00 degrees. The asymmetric unit holds Ta at (0.000, 0.000, 0.000), Ta at (0.250, 0.250, 0.250), In at (0.000, 0.000, 0.500) and Ru at (0.250, 0.250, 0.750).

5.
A plane-wave DFT calculation with PBE was carried out for a geometry-optimized TaIn2Ru2 structure.

The space group is P4/mbm (No. 127) and the conventional cell measures 6.651, 6.651 and 4.209 Å, with angles of 90.00, 90.00 and 90.00 degrees. The asymmetric unit holds Ta at (0.000, 0.000, 0.000), In at (0.170, 0.330, 0.500) and Ru at (0.136, 0.636, 0.000).

6.
A plane-wave DFT calculation with PBE was carried out for a geometry-optimized Ta4InRu5 structure.

The space group is P4/mmm (No. 123) and the conventional cell measures 3.217, 3.217 and 15.675 Å, with angles of 90.00, 90.00 and 90.00 degrees. The asymmetric unit holds Ta at (0.000, 0.000, 0.099), Ta at (0.000, 0.000, 0.298), In at (0.000, 0.000, 0.500), Ru at (0.500, 0.500, 0.000), Ru at (0.500, 0.500, 0.196) and Ru at (0.500, 0.500, 0.389).

7.
A plane-wave DFT calculation with PBE was carried out for a geometry-optimized TaIn2Ru structure.

As for the energy above the most stable polymorph in this dataset: 1.308 eV per formula unit.

The space group is C2/m (No. 12) and the conventional cell measures 10.270, 3.118 and 5.013 Å, with angles of 90.00, 111.26 and 90.00 degrees. The asymmetric unit holds Ta at (0.000, 0.000, 0.000), In at (0.236, 0.000, 0.738) and Ru at (0.000, 0.500, 0.500).

8.
A plane-wave DFT calculation with PBE was carried out for a geometry-optimized Ta2InRu structure.

The space group is P2/m (No. 10) and the conventional cell measures 2.992, 4.127 and 5.730 Å, with angles of 90.00, 94.16 and 90.00 degrees. The asymmetric unit holds Ta at (0.039, 0.000, 0.271), In at (0.500, 0.500, 0.000) and Ru at (0.500, 0.500, 0.500).

9.
A plane-wave DFT calculation with PBE was carried out for a geometry-optimized Ta2InRu structure.

The space group is Immm (No. 71) and the conventional cell measures 3.292, 4.530 and 9.405 Å, with angles of 90.00, 90.00 and 90.00 degrees. The asymmetric unit holds Ta at (0.000, 0.000, 0.234), In at (0.000, 0.500, 0.000) and Ru at (0.000, 0.500, 0.500).

10.
A plane-wave DFT calculation with PBE was carried out for a geometry-optimized TaIn3Ru structure.

As for the energy above the most stable polymorph in this dataset: 2.131 eV per formula unit.

The space group is Pm-3m (No. 221) and the conventional cell measures 5.311, 5.311 and 5.311 Å, with angles of 90.00, 90.00 and 90.00 degrees. The asymmetric unit holds Ta at (0.000, 0.000, 0.000), In at (0.000, 0.000, 0.500) and Ru at (0.500, 0.500, 0.500).

11.
A plane-wave DFT calculation with PBE was carried out for a geometry-optimized Ta2InRu structure.

The space group is I4/mmm (No. 139) and the conventional cell measures 4.010, 4.010 and 8.726 Å, with angles of 90.00, 90.00 and 90.00 degrees. The asymmetric unit holds Ta at (0.000, 0.500, 0.250), In at (0.000, 0.000, 0.000) and Ru at (0.000, 0.000, 0.500).

12.
A plane-wave DFT calculation with PBE was carried out for a geometry-optimized TaIn2Ru structure.

As for the energy above the most stable polymorph in this dataset: 1.719 eV per formula unit.

The space group is P4/mmm (No. 123) and the conventional cell measures 4.829, 4.829 and 3.153 Å, with angles of 90.00, 90.00 and 90.00 degrees. The asymmetric unit holds Ta at (0.000, 0.000, 0.000), In at (0.000, 0.500, 0.500) and Ru at (0.500, 0.500, 0.000).

13.
A plane-wave DFT calculation with PBE was carried out for a geometry-optimized TaIn2Ru structure.

As for the energy above the most stable polymorph in this dataset: 1.318 eV per formula unit.

The space group is Immm (No. 71) and the conventional cell measures 3.103, 5.026 and 9.628 Å, with angles of 90.00, 90.00 and 90.00 degrees. The asymmetric unit holds Ta at (0.000, 0.000, 0.000), In at (0.000, 0.500, 0.235) and Ru at (0.000, 0.000, 0.500).

14.
A plane-wave DFT calculation with PBE was carried out for a geometry-optimized TaIn2Ru structure.

As for the energy above the most stable polymorph in this dataset: 0.939 eV per formula unit.

The space group is Cm (No. 8) and the conventional cell measures 10.192, 3.205 and 4.966 Å, with angles of 90.00, 107.91 and 90.00 degrees. The asymmetric unit holds Ta at (0.000, 0.000, 0.000), In at (0.234, 0.000, 0.759), In at (0.454, 0.000, 0.460) and Ru at (0.197, 0.500, 0.225).

15.
A plane-wave DFT calculation with PBE was carried out for a geometry-optimized TaIn2Ru structure.

As for the energy above the most stable polymorph in this dataset: 0.000 eV per formula unit.

The space group is Pm (No. 6) and the conventional cell measures 3.135, 3.058 and 8.465 Å, with angles of 90.00, 100.58 and 90.00 degrees. The asymmetric unit holds Ta at (0.000, 0.000, 0.000), In at (0.629, 0.500, 0.259), In at (0.798, 0.000, 0.592) and Ru at (0.411, 0.500, 0.820).

16.
A plane-wave DFT calculation with PBE was carried out for a geometry-optimized Ta2InRu structure.

The space group is Imm2 (No. 44) and the conventional cell measures 3.131, 4.787 and 9.501 Å, with angles of 90.00, 90.00 and 90.00 degrees. The asymmetric unit holds Ta at (0.000, 0.000, 0.000), Ta at (0.000, 0.500, 0.250), In at (0.000, 0.000, 0.473) and Ru at (0.000, 0.500, 0.725).

17.
A plane-wave DFT calculation with PBE was carried out for a geometry-optimized TaIn3Ru structure.

As for the energy above the most stable polymorph in this dataset: 0.000 eV per formula unit.

The space group is Pm-3m (No. 221) and the conventional cell measures 5.019, 5.019 and 5.019 Å, with angles of 90.00, 90.00 and 90.00 degrees. The asymmetric unit holds Ta at (0.000, 0.000, 0.000), In at (0.000, 0.500, 0.500) and Ru at (0.500, 0.500, 0.500).

18.
A plane-wave DFT calculation with PBE was carried out for a geometry-optimized Ta2InRu structure.

The space group is I-42d (No. 122) and the conventional cell measures 3.945, 3.945 and 19.629 Å, with angles of 90.00, 90.00 and 90.00 degrees. The asymmetric unit holds Ta at (0.249, 0.250, 0.125), In at (0.000, 0.000, 0.500) and Ru at (0.000, 0.000, 0.000).

19.
A plane-wave DFT calculation with PBE was carried out for a geometry-optimized TaInTcRu structure.

The space group is F-43m (No. 216) and the conventional cell measures 6.409, 6.409 and 6.409 Å, with angles of 90.00, 90.00 and 90.00 degrees. The asymmetric unit holds Ta at (0.000, 0.000, 0.000), In at (0.000, 0.000, 0.500), Tc at (0.250, 0.250, 0.250) and Ru at (0.250, 0.250, 0.750).

20.
A plane-wave DFT calculation with PBE was carried out for a geometry-optimized TaVInRu structure.

The space group is F-43m (No. 216) and the conventional cell measures 6.427, 6.427 and 6.427 Å, with angles of 90.00, 90.00 and 90.00 degrees. The asymmetric unit holds Ta at (0.000, 0.000, 0.000), V at (0.250, 0.250, 0.250), In at (0.000, 0.000, 0.500) and Ru at (0.250, 0.250, 0.750).

21.
A plane-wave DFT calculation with PBE was carried out for a geometry-optimized Tb7InRu4 structure.

The space group is C2/m (No. 12) and the conventional cell measures 13.580, 5.552 and 9.683 Å, with angles of 90.00, 126.41 and 90.00 degrees. The asymmetric unit holds Tb at (0.000, 0.000, 0.000), Tb at (0.077, 0.500, 0.376), Tb at (0.179, 0.000, 0.631), Tb at (0.212, 0.500, 0.879), In at (0.000, 0.500, 0.000), Ru at (0.065, 0.000, 0.776) and Ru at (0.198, 0.000, 0.349).

22.
A plane-wave DFT calculation with PBE was carried out for a geometry-optimized Tb4InRu2 structure.

As for the energy above the most stable polymorph in this dataset: 0.000 eV per formula unit.

The space group is Cmcm (No. 63) and the conventional cell measures 5.114, 8.864 and 14.829 Å, with angles of 90.00, 90.00 and 90.00 degrees. The asymmetric unit holds Tb at (0.000, 0.000, 0.000), Tb at (0.000, 0.333, 0.122), Tb at (0.000, 0.334, 0.750), In at (0.000, 0.001, 0.750) and Ru at (0.000, 0.334, 0.561).

23.
A plane-wave DFT calculation with PBE was carried out for a geometry-optimized Tb6InRu structure.

The space group is P-1 (No. 2) and the conventional cell measures 6.880, 6.942 and 7.447 Å, with angles of 90.58, 116.74 and 119.67 degrees. The asymmetric unit holds Tb at (0.048, 0.084, 0.256), Tb at (0.291, 0.706, 0.254), Tb at (0.322, 0.533, 0.746), In at (0.500, 0.000, 0.000) and Ru at (0.500, 0.500, 0.500).

24.
A plane-wave DFT calculation with PBE was carried out for a geometry-optimized Tb2In8Ru structure.

The space group is P4/mmm (No. 123) and the conventional cell measures 4.638, 4.638 and 12.267 Å, with angles of 90.00, 90.00 and 90.00 degrees. The asymmetric unit holds Tb at (0.000, 0.000, 0.192), In at (0.000, 0.500, 0.000), In at (0.000, 0.500, 0.378), In at (0.500, 0.500, 0.190) and Ru at (0.000, 0.000, 0.500).

25.
A plane-wave DFT calculation with PBE was carried out for a geometry-optimized Tb11In9Ru4 structure.

The space group is Cmmm (No. 65) and the conventional cell measures 14.419, 21.620 and 3.783 Å, with angles of 90.00, 90.00 and 90.00 degrees. The asymmetric unit holds Tb at (0.000, 0.000, 0.000), Tb at (0.000, 0.162, 0.000), Tb at (0.000, 0.372, 0.000), Tb at (0.189, 0.500, 0.000), Tb at (0.250, 0.167, 0.000), In at (0.000, 0.500, 0.500), In at (0.107, 0.261, 0.500), In at (0.147, 0.072, 0.500) and Ru at (0.147, 0.401, 0.500).

26.
A plane-wave DFT calculation with PBE was carried out for a geometry-optimized TbIn2Ru structure.

The space group is Fm-3m (No. 225) and the conventional cell measures 6.912, 6.912 and 6.912 Å, with angles of 90.00, 90.00 and 90.00 degrees. The asymmetric unit holds Tb at (0.000, 0.000, 0.000), In at (0.250, 0.250, 0.250) and Ru at (0.000, 0.000, 0.500).

Number 1: formation enthalpy at 0 K 0.12 eV per atom, total magnetization 0.00 μB/f.u.. Number 2: formation enthalpy at 0 K 0.29 eV per atom, total magnetization 0.00 μB/f.u.. Number 3: formation enthalpy at 0 K -0.07 eV per atom, total magnetization 0.00 μB/f.u.. Number 4: formation enthalpy at 0 K 0.17 eV per atom, total magnetization 1.39 μB/f.u.. Number 5: formation enthalpy at 0 K 0.09 eV per atom, total magnetization 0.00 μB/f.u.. Number 6: formation enthalpy at 0 K -0.32 eV per atom, total magnetization 0.00 μB/f.u.. Number 7: formation enthalpy at 0 K 0.25 eV per atom, total magnetization 0.00 μB/f.u.. Number 8: formation enthalpy at 0 K 0.00 eV per atom, total magnetization 0.00 μB/f.u.. Number 9: formation enthalpy at 0 K -0.04 eV per atom, total magnetization 0.00 μB/f.u.. Number 10: formation enthalpy at 0 K 1.49 eV per atom, total magnetization 2.17 μB/f.u.. Number 11: formation enthalpy at 0 K 0.07 eV per atom, total magnetization 0.00 μB/f.u.. Number 12: formation enthalpy at 0 K 0.36 eV per atom, total magnetization 0.00 μB/f.u.. Number 13: formation enthalpy at 0 K 0.26 eV per atom, total magnetization 0.00 μB/f.u.. Number 14: formation enthalpy at 0 K 0.16 eV per atom, total magnetization 0.00 μB/f.u.. Number 15: formation enthalpy at 0 K -0.07 eV per atom, total magnetization 0.00 μB/f.u.. Number 16: formation enthalpy at 0 K 0.04 eV per atom, total magnetization 0.00 μB/f.u.. Number 17: formation enthalpy at 0 K 1.07 eV per atom, total magnetization 0.00 μB/f.u.. Number 18: formation enthalpy at 0 K 0.63 eV per atom, total magnetization 0.00 μB/f.u.. Number 19: formation enthalpy at 0 K -0.16 eV per atom, total magnetization 0.00 μB/f.u.. Number 20: formation enthalpy at 0 K -0.09 eV per atom, total magnetization 2.85 μB/f.u.. Number 21: formation enthalpy at 0 K -0.08 eV per atom, total magnetization 0.00 μB/f.u.. Number 22: formation enthalpy at 0 K -0.27 eV per atom, total magnetization 0.00 μB/f.u.. Number 23: formation enthalpy at 0 K -0.01 eV per atom, total magnetization 0.00 μB/f.u.. Number 24: formation enthalpy at 0 K -0.34 eV per atom, total magnetization 0.00 μB/f.u.. Number 25: formation enthalpy at 0 K -0.49 eV per atom, total magnetization 0.00 μB/f.u.. Number 26: formation enthalpy at 0 K -0.18 eV per atom, total magnetization 0.00 μB/f.u..